[1]
# Ti13Ni2

A geometry-optimized Ti13Ni2 structure (PBE, Alexandria).

POSCAR file:
```
Ti13Ni2
1.0
0.1618 2.3148 4.8583
-6.1783 -3.2912 0.9197
5.5623 -3.4834 2.7970
Ti Ni
13 2
Cartesian
-3.8153 -0.6335 4.0641 Ti
3.3610 -3.8263 4.5109 Ti
0.0000 0.0000 0.0000 Ti
2.9573 -1.6480 2.9435 Ti
-3.4116 -2.8118 5.6314 Ti
0.8024 -3.9706 3.0623 Ti
-1.2566 -0.4893 5.5127 Ti
-1.4913 -2.4279 3.5788 Ti
1.0370 -2.0320 4.9961 Ti
-0.8272 -4.4421 5.4202 Ti
0.3729 -0.0177 3.1547 Ti
3.3778 -1.8796 6.5027 Ti
-3.8320 -2.5802 2.0723 Ti
-1.2486 -2.5588 7.0233 Ni
0.7943 -1.9011 1.5517 Ni
```

Symmetry ... P-1 (2)
Formation energy ... -83 meV per atom
Fermi-level density of states ... 19.3 states/eV/cell

[2]
# RbPmCuCl5

A geometry-optimized RbPmCuCl5 structure (PBE, Alexandria).

POSCAR file:
```
RbPmCuCl5
1.0
7.5205 0.0149 -0.0615
-2.1811 7.1973 -0.0615
-2.2887 -3.0915 9.4667
Rb Pm Cu Cl
2 2 2 10
Cartesian
0.6414 3.9112 2.3052 Rb
2.4093 0.2095 7.0385 Rb
-1.1444 -1.5457 4.7334 Pm
0.0000 0.0000 0.0000 Pm
3.9300 1.4766 2.3052 Cu
-0.8793 2.6441 7.0385 Cu
-1.9717 5.8458 2.3052 Cl
5.0225 -1.7251 7.0385 Cl
5.8361 1.8814 1.0087 Cl
-2.7854 2.2393 8.3350 Cl
4.0992 -0.4647 3.6017 Cl
-1.0485 4.5854 5.7421 Cl
3.4046 3.1568 3.8932 Cl
-0.3539 0.9640 5.4505 Cl
2.1696 1.4887 0.7172 Cl
0.8811 2.6320 8.6266 Cl
```

Symmetry ... C2/c (15)
Formation energy without anion corrections ... -1.74 eV per atom
Fermi-level density of states ... 0.0 states/eV/cell

[3]
# Y2ZnPbN

A geometry-optimized Y2ZnPbN structure (PBE, Alexandria).

POSCAR file:
```
Y2ZnPbN
1.0
-2.6038 4.0752 -0.1584
-4.0368 -2.5486 0.7883
0.5297 0.5077 4.3539
Pb Y Zn N
1 2 1 1
Cartesian
-3.0554 1.0172 2.4919 Pb
-2.0184 -1.2743 0.3942 Y
-1.3019 2.0376 -0.0792 Y
0.2649 0.2539 2.1770 Zn
0.0000 0.0000 0.0000 N
```

Symmetry ... P4/mmm (123)
Formation energy without anion corrections ... -0.68 eV per atom
Fermi-level density of states ... 1.9 states/eV/cell

[4]
# NiHPt

A geometry-optimized NiHPt structure (PBE, Alexandria).

POSCAR file:
```
NiHPt
1.0
-1.1961 3.1866 -1.0543
-2.6704 0.2125 -2.3496
-3.2106 1.1344 1.0497
Ni Pt H
1 1 1
Cartesian
0.0000 0.0000 0.0000 Ni
-3.5386 2.2667 -1.1771 Pt
-1.7693 1.1334 -0.5885 H
```

Symmetry ... F-43m (216)
Excess energy over the best structure of this formula in the dataset ... 433 meV/atom
Fermi-level density of states ... 3.6 states/eV/cell

[5]
# MnReTe2

A geometry-optimized MnReTe2 structure (PBE, Alexandria).

POSCAR file:
```
MnReTe2
1.0
-0.2037 7.9700 2.8378
0.1524 6.2878 5.6618
2.8031 7.0104 3.8225
Mn Re Te
1 1 2
Cartesian
2.0638 15.9511 9.2415 Mn
0.6879 5.3170 3.0805 Re
2.7462 21.2251 12.2971 Te
1.3814 10.6771 6.1859 Te
```

Symmetry ... R-3m (166)
Formation energy without anion corrections ... 0.58 eV per atom
Excess energy over the best structure of this formula in the dataset ... 494 meV/atom
Fermi-level density of states ... 2.8 states/eV/cell

[6]
# Cr2CuMo

A geometry-optimized Cr2CuMo structure (PBE, Alexandria).

POSCAR file:
```
Cr2CuMo
1.0
9.1618 0.0092 0.0054
8.7898 2.5843 0.0054
8.7898 1.2699 2.2508
Cr Cu Mo
2 1 1
Cartesian
26.6375 3.8484 2.2528 Cr
13.4746 1.9467 1.1396 Cr
6.6854 0.9659 0.5654 Cu
20.0561 2.8976 1.6962 Mo
```

Symmetry ... R-3m (166)
Formation energy ... 464 meV per atom
Excess energy over the best structure of this formula in the dataset ... 270 meV/atom
Fermi-level density of states ... 4.5 states/eV/cell

[7]
# Cs2Li3ThCl12

A geometry-optimized Cs2Li3ThCl12 structure (PBE, Alexandria).

POSCAR file:
```
Cs2Li3ThCl12
1.0
-2.0252 -5.1403 8.0151
5.2119 0.2079 8.2194
-3.0415 3.7934 8.4336
Cs Li Th Cl
2 3 1 12
Cartesian
0.0882 -0.6914 14.9750 Cs
0.0571 -0.4476 9.6930 Cs
-1.0126 -2.5702 4.0075 Li
2.6059 0.1039 4.1097 Li
-1.5207 1.8967 4.2168 Li
0.0000 0.0000 0.0000 Th
-1.5835 1.6608 12.6142 Cl
1.8300 -3.1546 17.7538 Cl
1.2627 1.8322 17.9874 Cl
-1.0385 -3.1304 12.3898 Cl
-2.7770 -1.1532 17.8734 Cl
2.8428 -0.2621 12.4993 Cl
1.7287 -2.7998 12.0539 Cl
-1.6847 2.0156 6.9142 Cl
-1.1175 -2.9712 6.6806 Cl
1.1837 1.9914 12.2783 Cl
2.9222 0.0141 6.7947 Cl
-2.6976 -0.8769 12.1687 Cl
```

Symmetry ... R-3m (166)
Formation energy without anion corrections ... -1.48 eV per atom
Fermi-level density of states ... 15.8 states/eV/cell

[8]
# Cd2Ni2As

A geometry-optimized Cd2Ni2As structure (PBE, Alexandria).

POSCAR file:
```
Cd2Ni2As
1.0
-5.0947 -1.9553 2.9288
-1.3025 -3.7393 -4.7622
2.2545 -3.1238 1.8362
Ni As Cd
4 2 4
Cartesian
-2.8908 -3.8633 -3.0229 Ni
-5.1775 -4.0924 -0.6053 Ni
-3.5064 -1.8314 1.1896 Ni
-1.2198 -1.6022 -1.2281 Ni
0.0000 0.0000 0.0000 As
-3.1986 -2.8473 -0.9167 As
-0.5582 -4.3521 -1.7593 Cd
-3.3357 -5.9905 -1.1364 Cd
-3.5846 -4.4663 1.7622 Cd
-0.8071 -2.8279 1.1393 Cd
```

Symmetry ... P4/mbm (127)
Formation energy ... -43 meV per atom
Fermi-level density of states ... 5.4 states/eV/cell

[9]
# Dy3Tc3B8

A geometry-optimized Dy3Tc3B8 structure (PBE, Alexandria).

POSCAR file:
```
Dy3Tc3B8
1.0
-2.2053 -1.8397 -1.3109
3.2214 -7.0484 0.6713
-2.9829 -3.5736 6.2321
Dy Tc B
3 3 8
Cartesian
-0.9834 -6.2308 2.7963 Dy
-1.6802 -3.7267 0.4540 Dy
-0.2866 -8.7350 5.1385 Dy
-1.1026 -0.9199 -0.6554 Tc
1.8421 -6.2759 1.9075 Tc
-1.6037 -4.3461 4.9959 Tc
-2.8198 -4.1895 3.0206 B
0.8529 -8.2722 2.5719 B
0.1852 -5.8724 0.3273 B
-2.1520 -6.5893 5.2652 B
-0.6221 -9.1348 2.4624 B
-1.3448 -3.3269 3.1301 B
-2.7826 -7.9247 4.3989 B
0.8158 -4.5370 1.1936 B
```

Symmetry ... Immm (71)
Formation energy ... -181 meV per atom
Fermi-level density of states ... 6.2 states/eV/cell

[10]
# ScPd3Se

A geometry-optimized ScPd3Se structure (PBE, Alexandria).

POSCAR file:
```
ScPd3Se
1.0
4.6821 0.0000 0.0000
0.0000 4.6821 0.0000
0.0000 0.0000 4.6821
Sc Se Pd
1 1 3
Cartesian
2.3411 2.3411 2.3411 Sc
0.0000 0.0000 0.0000 Se
0.0000 2.3411 0.0000 Pd
0.0000 0.0000 2.3411 Pd
2.3411 0.0000 0.0000 Pd
```

Symmetry ... Pm-3m (221)
Formation energy without anion corrections ... -0.18 eV per atom
Excess energy over the best structure of this formula in the dataset ... 0 meV/atom
Fermi-level density of states ... 3.9 states/eV/cell

[11]
# Tm2Pa2S7

A geometry-optimized Tm2Pa2S7 structure (PBE, Alexandria).

POSCAR file:
```
Tm2Pa2S7
1.0
-2.4130 2.0117 3.3328
2.4657 -2.2446 3.1400
8.4726 9.6987 0.2801
Tm Pa S
2 2 7
Cartesian
6.1003 9.3701 1.9079 Tm
2.3986 0.2121 1.6085 Tm
1.9629 4.6339 1.7712 Pa
6.5360 4.9484 1.7453 Pa
0.0263 -0.1165 3.2364 S
1.9761 2.2620 0.0653 S
2.1873 2.3573 3.3078 S
4.2363 4.8494 0.1400 S
4.2626 4.7329 3.3764 S
6.4965 7.4367 0.2147 S
6.3379 7.1085 3.4450 S
```

Symmetry ... P-4m2 (115)
Formation energy without anion corrections ... -1.69 eV per atom
Excess energy over the best structure of this formula in the dataset ... 0 meV/atom
Fermi-level density of states ... 10.2 states/eV/cell

[12]
# Na2Sr2Tl7

A geometry-optimized Na2Sr2Tl7 structure (PBE, Alexandria).

POSCAR file:
```
Na2Sr2Tl7
1.0
6.8176 -0.0025 -1.4572
0.0039 8.6985 0.0038
-1.8791 -0.0021 6.7136
Na Sr Tl
2 2 7
Cartesian
4.5282 8.6960 0.7012 Na
0.4142 -0.0020 4.5590 Na
3.7280 4.3459 3.9678 Sr
1.2144 4.3482 1.2924 Sr
5.8771 2.6764 1.9034 Tl
1.5351 6.0154 5.9857 Tl
-0.9347 6.0176 3.3568 Tl
3.4072 2.6786 -0.7254 Tl
0.0000 0.0000 0.0000 Tl
2.4744 7.1711 2.6295 Tl
2.4679 1.5229 2.6307 Tl
```

Symmetry ... Cmmm (65)
Formation energy ... -10 meV per atom
Fermi-level density of states ... 6.6 states/eV/cell

How do the records compare in E_tot? In the order shown, they have -7.70 -4.12 -5.92 -4.67 -6.40 -8.08 -3.53 -3.65 -7.20 -5.26 -6.86 -2.06 eV per atom.